A geometry-optimized TaSi2Rh structure. Source: Alexandria, functional GGA-PBE.

The structure in POSCAR format:
```
TaSi2Rh
1.0
4.7978 -0.0007 -0.0004
3.9195 2.7670 -0.0004
1.2091 0.3837 4.3784
Rh Si Ta
1 2 1
direct
0.2587 0.2587 0.1799 Rh
0.7459 0.7459 0.7150 Si
0.9994 0.9994 0.0465 Si
0.4960 0.4960 0.5586 Ta
```

Results
* raw formation energy: -1.9 eV/f.u.
* density: 9.71 Mg/m³
* SG: Cm, No. 8